Material: NaCeDy2
Method: DFT, PBE
State: optimized geometry

POSCAR file:
```
NaCeDy2
1.0
3.4970 0.0000 0.0000
0.0000 3.4970 0.0000
0.0000 0.0000 10.4225
Ce Na Dy
1 1 2
Direct
0.5000 0.5000 0.0000
0.5000 0.5000 0.5000
0.0000 0.0000 0.7765
0.0000 0.0000 0.2235
```

Computed properties:
Calculated formation energy: 14.8 kJ per mole of atoms
E_tot: -3.96 eV/atom
Relative energy among the computed polymorphs: 0.000 eV/atom
D(E_F): 1.31 states/eV/atom

Material: TbDy2PuN4
Method: DFT, PBE
State: optimized geometry

POSCAR file:
```
TbDy2PuN4
1.0
3.4851 0.0000 0.0000
0.0000 6.0097 0.1094
0.0000 -2.0972 5.6322
Dy N Pu Tb
2 4 1 1
Direct
0.5000 0.0000 0.5000
0.0000 0.5000 0.5000
0.5000 0.7566 0.7554
0.5000 0.2434 0.2446
0.0000 0.7549 0.2474
0.0000 0.2451 0.7526
0.0000 0.0000 0.0000
0.5000 0.5000 0.0000
```

Computed properties:
E_tot: -9.26 eV/atom
ΔE_f (raw): -1572 meV/atom
D(E_F): 0.88 states/eV/atom